# 1
First-principles (PBE) data for a relaxed structure of YEr2Ti, as listed in the Alexandria database.

a b c (Å): 3.388 3.388 9.486
angles (deg): 90.00 90.00 90.00
Space group P4/mmm (No. 123)
Inequivalent atoms, fractional coordinates:
1 Y 0.000 0.000 0.000 (multiplicity 1)
2 Er 0.500 0.500 0.283 (multiplicity 2)
3 Ti 0.000 0.000 0.500 (multiplicity 1)

Properties
Offset from the most stable computed form ... 0.0000 eV/atom
Energy of formation ... 0.6 eV per formula unit
E ... -5.714 eV per atom

---

# 2
First-principles (PBE) data for a relaxed structure of ErTiZn17, as listed in the Alexandria database.

a b c (Å): 8.8474 8.8474 13.0436
angles (deg): 90.00 90.00 120.00
Space group R3m (No. 160, hexagonal axes)
Inequivalent atoms, fractional coordinates:
1 Er 0.0000 0.0000 0.0000 (multiplicity 3)
2 Ti 0.0000 0.0000 0.6600 (multiplicity 3)
3 Zn 0.0000 0.0000 0.2406 (multiplicity 3)
4 Zn 0.0000 0.0000 0.4411 (multiplicity 3)
5 Zn 0.0048 0.3045 0.3343 (multiplicity 18)
6 Zn 0.0080 0.5040 0.1873 (multiplicity 9)
7 Zn 0.0161 0.5080 0.8306 (multiplicity 9)
8 Zn 0.0342 0.5171 0.4856 (multiplicity 9)

Properties
Energy of formation ... -2.3 eV per formula unit
E ... -1.914 eV per atom